The following is a DFT calculation (PBE) of an optimized crystal structure of Cs2ZnF6.

Cell: 6.3655 6.3655 10.3429 Å, 90.00 90.00 120.00°
Last column: nearest neighbours and their distance in Å.
Positions (direct):
Cs1 0.0000 0.0000 0.0000  12 F 3.23-3.37
Cs2 0.0000 0.0000 0.5000  12 F 3.23-3.37
Cs3 0.3333 0.6667 0.2726  12 F 3.15-3.23
Cs4 0.6667 0.3333 0.7726  12 F 3.15-3.23
Zn1 0.3333 0.6667 0.6564  6 F 1.93
Zn2 0.6667 0.3333 0.1564  6 F 1.93
F1 0.0504 0.5252 0.5464  1 Zn 1.93
F2 0.1869 0.3739 0.7579  1 Zn 1.93
F3 0.1869 0.8131 0.7579  1 Zn 1.93
F4 0.3739 0.1869 0.2579  1 Zn 1.93
F5 0.4748 0.5252 0.5464  1 Zn 1.93
F6 0.4748 0.9496 0.5464  1 Zn 1.93
F7 0.5252 0.0504 0.0464  1 Zn 1.93
F8 0.5252 0.4748 0.0464  1 Zn 1.93
F9 0.6261 0.8131 0.7579  1 Zn 1.93
F10 0.8131 0.1869 0.2579  1 Zn 1.93
F11 0.8131 0.6261 0.2579  1 Zn 1.93
F12 0.9496 0.4748 0.0464  1 Zn 1.93

Computed properties:
space-group type: P6_3mc, No. 186
formation energy (no corrections): -2054 meV per atom
calculated volume: 20.2 A^3/atom